Record 1
16
Lattice="7.349 0.000 0.000 0.000 7.349 0.000 0.000 0.000 7.349" Properties=species:S:1:pos:R:3 comment="BaCuSnAu (PBE, optimized geometry)" density_g_cm3=8.64 e_above_lowest_polymorph_mev_per_atom=184 pbc="T T T"
Ba 0.000 0.000 0.000
Ba 0.000 3.675 3.675
Ba 3.675 0.000 3.675
Ba 3.675 3.675 0.000
Cu 1.837 1.837 1.837
Cu 1.837 5.512 5.512
Cu 5.512 1.837 5.512
Cu 5.512 5.512 1.837
Sn 1.837 1.837 5.512
Sn 1.837 5.512 1.837
Sn 5.512 1.837 1.837
Sn 5.512 5.512 5.512
Au 0.000 0.000 3.675
Au 0.000 3.675 0.000
Au 3.675 0.000 0.000
Au 3.675 3.675 3.675

---

Record 2
16
Lattice="7.200 0.000 0.000 0.000 7.200 0.000 0.000 0.000 7.200" Properties=species:S:1:pos:R:3 comment="HfScSb2 (PBE, optimized geometry)" total_magnetization_mub_per_fu=0.62 final_energy_ev_per_cell=-98.0 density_g_cm3=8.31 pbc="T T T"
Hf 0.000 0.000 0.000
Hf 0.000 3.600 3.600
Hf 3.600 0.000 3.600
Hf 3.600 3.600 0.000
Sc 1.800 1.800 5.400
Sc 1.800 5.400 1.800
Sc 5.400 1.800 1.800
Sc 5.400 5.400 5.400
Sb 0.000 0.000 3.600
Sb 0.000 3.600 0.000
Sb 1.800 1.800 1.800
Sb 1.800 5.400 5.400
Sb 3.600 0.000 0.000
Sb 3.600 3.600 3.600
Sb 5.400 1.800 5.400
Sb 5.400 5.400 1.800

---

Record 3
16
Lattice="6.634 0.000 0.000 0.000 6.634 0.000 0.000 0.000 6.634" Properties=species:S:1:pos:R:3 comment="NaYSiPt (PBE, optimized geometry)" total_magnetization_mub_per_fu=0.00 density_g_cm3=7.62 e_above_lowest_polymorph_mev_per_atom=144 pbc="T T T"
Na 0.000 0.000 0.000
Na 0.000 3.317 3.317
Na 3.317 0.000 3.317
Na 3.317 3.317 0.000
Y 1.658 1.658 4.975
Y 1.658 4.975 1.658
Y 4.975 1.658 1.658
Y 4.975 4.975 4.975
Si 0.000 0.000 3.317
Si 0.000 3.317 0.000
Si 3.317 0.000 0.000
Si 3.317 3.317 3.317
Pt 1.658 1.658 1.658
Pt 1.658 4.975 4.975
Pt 4.975 1.658 4.975
Pt 4.975 4.975 1.658

---

Record 4
12
Lattice="7.035 0.000 0.000 0.000 7.035 0.000 0.000 0.000 7.035" Properties=species:S:1:pos:R:3 comment="HfThMg (PBE, optimized geometry)" total_magnetization_mub_per_fu=0.06 density_g_cm3=8.29 e_above_lowest_polymorph_mev_per_atom=0 pbc="T T T"
Hf 0.000 0.000 0.000
Hf 0.000 3.518 3.518
Hf 3.518 0.000 3.518
Hf 3.518 3.518 0.000
Th 0.000 0.000 3.518
Th 0.000 3.518 0.000
Th 3.518 0.000 0.000
Th 3.518 3.518 3.518
Mg 1.759 1.759 1.759
Mg 1.759 5.276 5.276
Mg 5.276 1.759 5.276
Mg 5.276 5.276 1.759

---

Record 5
16
Lattice="3.137 0.000 0.000 -1.568 2.716 0.000 0.000 0.000 24.116" Properties=species:S:1:pos:R:3 comment="Ta4ZnC3 (PBE, optimized geometry)" total_magnetization_mub_per_fu=0.00 final_energy_ev_per_cell=-161.1 density_g_cm3=13.34 pbc="T T T"
Ta 0.000 0.000 3.823
Ta 0.000 0.000 8.235
Ta 0.000 0.000 15.881
Ta 0.000 0.000 20.293
Ta 0.000 1.811 1.342
Ta 0.000 1.811 10.716
Ta 1.568 0.905 13.400
Ta 1.568 0.905 22.774
Zn 0.000 1.811 6.029
Zn 1.568 0.905 18.087
C 0.000 0.000 0.000
C 0.000 0.000 12.058
C 0.000 1.811 14.694
C 0.000 1.811 21.480
C 1.568 0.905 2.636
C 1.568 0.905 9.422

---

Record 6
7
Lattice="3.398 0.000 0.000 0.000 3.398 0.000 0.000 0.000 6.149" Properties=species:S:1:pos:R:3 comment="Zr2O5 (PBE, optimized geometry)" total_magnetization_mub_per_fu=2.03 final_energy_ev_per_cell=-56.2 density_g_cm3=6.14 pbc="T T T"
Zr 0.000 0.000 0.000
Zr 0.000 0.000 3.075
O 0.000 1.699 1.363
O 0.000 1.699 4.787
O 1.699 0.000 1.363
O 1.699 0.000 4.787
O 1.699 1.699 3.075

---

Record 7
8
Lattice="4.260 0.000 0.000 0.000 4.260 0.000 0.000 0.000 6.247" Properties=species:S:1:pos:R:3 comment="Li4MgNiGe2 (PBE, optimized geometry)" total_magnetization_mub_per_fu=0.01 final_energy_ev_per_cell=-26.6 density_g_cm3=3.75 pbc="T T T"
Li 0.000 0.000 0.000
Li 0.000 2.130 4.470
Li 2.130 0.000 1.777
Li 2.130 2.130 3.123
Mg 2.130 2.130 0.000
Ni 0.000 0.000 3.123
Ge 0.000 2.130 1.751
Ge 2.130 0.000 4.495

---

Record 8
6
Lattice="4.927 0.000 0.000 -2.463 4.267 0.000 0.000 0.000 11.962" Properties=species:S:1:pos:R:3 comment="Cs2CdHgSb2 (PBE, optimized geometry)" final_energy_ev_per_cell=-13.6 density_g_cm3=5.43 pbc="T T T"
Cs 0.000 0.000 2.991
Cs 0.000 0.000 8.971
Cd 0.000 2.845 0.000
Hg 2.463 1.422 5.981
Sb 0.000 2.845 5.981
Sb 2.463 1.422 0.000

---

Record 9
11
Lattice="-1.936 3.231 6.410 1.936 -3.231 6.410 1.936 3.231 -6.410" Properties=species:S:1:pos:R:3 comment="Hf2ZrSi2Ni4Ge2 (PBE, optimized geometry)" total_magnetization_mub_per_fu=0.01 density_g_cm3=9.16 e_above_lowest_polymorph_mev_per_atom=0 pbc="T T T"
Hf 0.000 0.000 1.653
Hf 0.000 0.000 11.166
Zr 0.000 3.231 0.000
Si 1.936 0.000 3.665
Si 0.000 3.231 2.745
Ni 1.936 1.945 -2.318
Ni 1.936 1.945 2.318
Ni 0.000 1.286 4.092
Ni 0.000 1.286 8.728
Ge 1.936 1.285 0.000
Ge 0.000 1.946 6.410

---

Record 10
20
Lattice="5.732 0.000 0.000 0.000 7.782 0.000 0.000 0.000 5.350" Properties=species:S:1:pos:R:3 comment="DyGeO3 (PBE, optimized geometry)" total_magnetization_mub_per_fu=0.00 final_energy_ev_per_cell=-142.5 density_g_cm3=7.88 pbc="T T T"
Dy 0.417 1.946 0.125
Dy 2.449 5.837 2.800
Dy 3.283 1.946 2.550
Dy 5.315 5.837 5.225
Ge 0.000 0.000 2.675
Ge 0.000 3.891 2.675
Ge 2.866 0.000 0.000
Ge 2.866 3.891 0.000
O 0.284 5.837 1.994
O 1.107 4.385 4.333
O 1.107 7.288 4.333
O 1.759 0.494 1.658
O 1.759 3.397 1.658
O 2.582 1.946 4.669
O 3.150 5.837 0.681
O 3.973 4.385 3.692
O 3.973 7.288 3.692
O 4.625 0.494 1.017
O 4.625 3.397 1.017
O 5.448 1.946 3.355

---

Record 11
16
Lattice="6.534 0.000 0.000 0.000 6.534 0.000 0.000 0.000 6.534" Properties=species:S:1:pos:R:3 comment="Al2AgAu (PBE, optimized geometry)" final_energy_ev_per_cell=-54.1 density_g_cm3=8.54 pbc="T T T"
Al 0.000 0.000 0.000
Al 0.000 3.267 3.267
Al 1.633 1.633 1.633
Al 1.633 4.900 4.900
Al 3.267 0.000 3.267
Al 3.267 3.267 0.000
Al 4.900 1.633 4.900
Al 4.900 4.900 1.633
Ag 1.633 1.633 4.900
Ag 1.633 4.900 1.633
Ag 4.900 1.633 1.633
Ag 4.900 4.900 4.900
Au 0.000 0.000 3.267
Au 0.000 3.267 0.000
Au 3.267 0.000 0.000
Au 3.267 3.267 3.267

---

Record 12
8
Lattice="3.490 0.000 0.000 -1.745 3.023 0.000 0.000 0.000 15.560" Properties=species:S:1:pos:R:3 comment="TbHfPbC (PBE, optimized geometry)" total_magnetization_mub_per_fu=0.00 density_g_cm3=11.26 e_above_lowest_polymorph_mev_per_atom=51 pbc="T T T"
Tb 0.000 2.015 1.363
Tb 1.745 1.008 14.197
Hf 0.000 2.015 6.607
Hf 1.745 1.008 8.953
Pb 0.000 2.015 11.431
Pb 1.745 1.008 4.130
C 0.000 0.000 0.000
C 0.000 0.000 7.780

---

Repeat the second record exactly.
16
Lattice="7.200 0.000 0.000 0.000 7.200 0.000 0.000 0.000 7.200" Properties=species:S:1:pos:R:3 comment="HfScSb2 (PBE, optimized geometry)" total_magnetization_mub_per_fu=0.62 final_energy_ev_per_cell=-98.0 density_g_cm3=8.31 pbc="T T T"
Hf 0.000 0.000 0.000
Hf 0.000 3.600 3.600
Hf 3.600 0.000 3.600
Hf 3.600 3.600 0.000
Sc 1.800 1.800 5.400
Sc 1.800 5.400 1.800
Sc 5.400 1.800 1.800
Sc 5.400 5.400 5.400
Sb 0.000 0.000 3.600
Sb 0.000 3.600 0.000
Sb 1.800 1.800 1.800
Sb 1.800 5.400 5.400
Sb 3.600 0.000 0.000
Sb 3.600 3.600 3.600
Sb 5.400 1.800 5.400
Sb 5.400 5.400 1.800